[1]
A plane-wave DFT calculation with PBE was carried out for a geometry-optimized In3TeIr structure.

Cell: 5.2176 5.2176 5.2176 Å, 90.00 90.00 90.00°
With the nearest neighbours (Å) after each atom.
Element x y z (fractional)
In 0.0000 0.0000 0.5000  2 Ir 2.61
In 0.0000 0.5000 0.0000  2 Ir 2.61
In 0.5000 0.0000 0.0000  2 Ir 2.61
Te 0.5000 0.5000 0.5000  12 In 3.69
Ir 0.0000 0.0000 0.0000  6 In 2.61

Crystal system   cubic
Distance to the lowest polymorph of the same formula   0.0 kJ/mol of atoms
Total DFT energy (no corrections)   -0.15254 hartree per atom
Space group   Pm-3m (221)

[2]
A plane-wave DFT calculation with PBE was carried out for a geometry-optimized InTe2Ir structure.

Cell: 8.8743 8.8743 8.8743 Å, 26.81 26.81 26.81°
With the nearest neighbours (Å) after each atom.
Element x y z (fractional)
In 0.0000 0.0000 0.0000  6 Te 2.97
Te 0.4026 0.4026 0.4026  1 Ir 2.50
Te 0.5974 0.5974 0.5974  1 Ir 2.50
Ir 0.5000 0.5000 0.5000  2 Te 2.50

Crystal system   trigonal
Total DFT energy (no corrections)   -0.13973 hartree per atom
Space group   R-3m (166)

[3]
A plane-wave DFT calculation with PBE was carried out for a geometry-optimized InTeIr structure.

Cell: 3.8322 3.8322 5.6993 Å, 90.00 90.00 120.00°
With the nearest neighbours (Å) after each atom.
Element x y z (fractional)
In 0.0000 0.0000 0.0000  3 Ir 2.78
Te 0.3333 0.6667 0.5388  3 Ir 2.61
Ir 0.6667 0.3333 0.2960  3 Te 2.61, 3 In 2.78

Crystal system   trigonal
Distance to the lowest polymorph of the same formula   10.6 kJ/mol of atoms
Total DFT energy (no corrections)   -0.17915 hartree per atom
Space group   P3m1 (156)

[4]
A plane-wave DFT calculation with PBE was carried out for a geometry-optimized InTe2Ir structure.

Cell: 7.6893 7.6893 7.6893 Å, 129.86 129.86 73.62°
With the nearest neighbours (Å) after each atom.
Element x y z (fractional)
In 0.0000 0.0000 0.0000  4 Te 3.01
In 0.7500 0.2500 0.5000  4 Te 3.01
Te 0.1838 0.6250 0.0588  2 Ir 2.56
Te 0.3750 0.4338 0.5588  2 Ir 2.56
Te 0.5662 0.1250 0.9412  2 Ir 2.56
Te 0.8750 0.8162 0.4412  2 Ir 2.56
Ir 0.2500 0.7500 0.5000  4 Te 2.56
Ir 0.5000 0.5000 0.0000  4 Te 2.56

Crystal system   tetragonal
Total DFT energy (no corrections)   -0.16329 hartree per atom
Space group   I-42d (122)